Record 1
## TaCrCu2 (PBEsol)

Data for an optimized crystal structure of TaCrCu2.

Geometry as extended XYZ:
```
4
Lattice="1.318 0.761 8.835 -1.318 0.761 8.835 0.000 -1.522 8.835" Properties=species:S:1:pos:R:3 pbc="T T T"
Ta 0.000 0.000 0.000
Cr 0.000 0.000 13.253
Cu 0.000 0.000 6.498
Cu 0.000 0.000 20.008
```

- total moment (μB per formula unit) = 0.04
- E (eV per atom) = -7.43
- Fermi-level density of states (states/eV per cell) = 4.23
- crystal system = trigonal

***

Record 2
## Be5Cu (PBEsol)

Data for an optimized crystal structure of Be5Cu.

Geometry as extended XYZ:
```
6
Lattice="4.116 0.000 0.000 -2.058 3.565 0.000 0.000 0.000 3.546" Properties=species:S:1:pos:R:3 pbc="T T T"
Be -1.029 1.782 0.000
Be 0.000 2.376 1.773
Be 2.058 0.000 0.000
Be 1.029 1.782 0.000
Be 2.058 1.188 1.773
Cu 0.000 0.000 1.773
```

- total moment (μB per formula unit) = 0.00
- E (eV per atom) = -4.03
- Fermi-level density of states (states/eV per cell) = 0.65
- crystal system = hexagonal

***

Record 3
## ReSbIr2 (PBEsol)

Data for an optimized crystal structure of ReSbIr2.

Geometry as extended XYZ:
```
4
Lattice="4.770 0.000 0.000 0.000 4.770 0.000 0.000 0.000 2.799" Properties=species:S:1:pos:R:3 pbc="T T T"
Re 0.000 0.000 0.000
Sb 2.385 2.385 0.000
Ir 0.000 2.385 1.400
Ir 2.385 0.000 1.400
```

- total moment (μB per formula unit) = 0.00
- E (eV per atom) = -8.93
- formation energy (no corrections) (eV/f.u.) = 1.8
- Fermi-level density of states (states/eV per cell) = 4.27
- crystal system = tetragonal

***

Record 4
## Sn2ClF (PBEsol)

Data for an optimized crystal structure of Sn2ClF.

Geometry as extended XYZ:
```
4
Lattice="0.000 3.461 3.461 3.461 0.000 3.461 3.461 3.461 0.000" Properties=species:S:1:pos:R:3 pbc="T T T"
Sn 1.730 1.730 1.730
Sn 5.191 5.191 5.191
Cl 0.000 0.000 0.000
F 3.461 3.461 3.461
```

- total moment (μB per formula unit) = 0.00
- E (eV per atom) = -3.71
- formation energy (no corrections) (eV/f.u.) = -2.4
- Fermi-level density of states (states/eV per cell) = 3.50
- crystal system = cubic

***

Record 5
## RbZnBP2O8 (PBEsol)

Data for an optimized crystal structure of RbZnBP2O8.

Geometry as extended XYZ:
```
26
Lattice="7.490 0.000 0.000 -1.798 7.413 0.000 -1.585 -4.295 6.389" Properties=species:S:1:pos:R:3 pbc="T T T"
Rb 0.979 2.119 0.550
Rb 3.128 0.999 5.839
Zn -0.213 1.974 4.853
Zn 4.320 1.144 1.536
B -0.831 5.007 2.745
B 4.938 -1.889 3.645
P -0.696 -0.147 2.647
P 1.539 5.623 1.426
P 2.569 -2.505 4.963
P 4.804 3.265 3.742
O -1.621 3.751 2.698
O 0.150 -1.352 2.130
O -1.999 2.725 5.005
O 0.186 0.898 3.307
O 0.325 4.738 1.887
O 1.325 -2.042 4.117
O 0.276 0.886 6.387
O 3.026 -0.314 1.603
O 1.082 3.432 4.786
O 3.831 2.232 0.002
O 2.782 5.160 2.272
O 3.783 -1.620 4.502
O 3.921 2.220 3.082
O 6.106 0.393 1.384
O 3.958 4.470 4.259
O 5.728 -0.633 3.691
```

- total moment (μB per formula unit) = 0.00
- E (eV per atom) = -7.11
- formation energy (no corrections) (eV/f.u.) = -29.2
- Fermi-level density of states (states/eV per cell) = 0.00
- crystal system = triclinic

***

Record 6
## MgIn2Ir (PBEsol)

Data for an optimized crystal structure of MgIn2Ir.

Geometry as extended XYZ:
```
4
Lattice="-2.075 2.075 4.198 2.075 -2.075 4.198 2.075 2.075 -4.198" Properties=species:S:1:pos:R:3 pbc="T T T"
Mg 0.000 0.000 0.000
In 2.075 0.000 2.099
In 0.000 0.000 4.198
Ir 0.000 2.075 2.099
```

- total moment (μB per formula unit) = 0.00
- E (eV per atom) = -4.49
- Fermi-level density of states (states/eV per cell) = 0.92
- crystal system = tetragonal

***

Record 7
## YGeRh2 (PBEsol)

Data for an optimized crystal structure of YGeRh2.

Geometry as extended XYZ:
```
4
Lattice="0.000 3.182 3.182 3.182 0.000 3.182 3.182 3.182 0.000" Properties=species:S:1:pos:R:3 pbc="T T T"
Y 0.000 0.000 0.000
Ge 3.182 3.182 3.182
Rh 1.591 1.591 1.591
Rh 4.773 4.773 4.773
```

- total moment (μB per formula unit) = 0.00
- E (eV per atom) = -7.69
- Fermi-level density of states (states/eV per cell) = 4.38
- crystal system = cubic

***

Record 8
## Te2AsOsN (PBEsol)

Data for an optimized crystal structure of Te2AsOsN.

Geometry as extended XYZ:
```
5
Lattice="5.280 0.000 0.000 0.000 5.280 0.000 0.000 0.000 3.445" Properties=species:S:1:pos:R:3 pbc="T T T"
Te 0.000 2.640 0.000
Te 2.640 0.000 0.000
As 0.000 0.000 0.000
Os 2.640 2.640 1.722
N 0.000 0.000 1.722
```

- total moment (μB per formula unit) = 0.00
- E (eV per atom) = -5.17
- formation energy (no corrections) (eV/f.u.) = 7.1
- Fermi-level density of states (states/eV per cell) = 3.91
- crystal system = tetragonal

***

Record 9
## ZrH2Pd2 (PBEsol)

Data for an optimized crystal structure of ZrH2Pd2.

Geometry as extended XYZ:
```
5
Lattice="-1.795 1.795 4.270 1.795 -1.795 4.270 1.795 1.795 -4.270" Properties=species:S:1:pos:R:3 pbc="T T T"
Zr 0.000 0.000 0.000
H 1.795 0.000 2.135
H 0.000 1.795 2.135
Pd 0.000 0.000 2.857
Pd 0.000 0.000 5.683
```

- total moment (μB per formula unit) = 0.00
- E (eV per atom) = -5.97
- Fermi-level density of states (states/eV per cell) = 1.31
- crystal system = tetragonal

***

Record 10
## RbZnPt3 (PBEsol)

Data for an optimized crystal structure of RbZnPt3.

Geometry as extended XYZ:
```
5
Lattice="4.967 0.000 0.000 0.000 4.967 0.000 0.000 0.000 4.967" Properties=species:S:1:pos:R:3 pbc="T T T"
Rb 0.000 0.000 0.000
Zn 2.483 2.483 2.483
Pt 0.000 0.000 2.483
Pt 0.000 2.483 0.000
Pt 2.483 0.000 0.000
```

- total moment (μB per formula unit) = 0.00
- E (eV per atom) = -2.34
- Fermi-level density of states (states/eV per cell) = 5.96
- crystal system = cubic

***

Record 11
## LiMnP3O9 (PBEsol)

Data for an optimized crystal structure of LiMnP3O9.

Geometry as extended XYZ:
```
14
Lattice="4.907 2.833 2.025 -4.907 2.833 2.025 0.000 -5.666 2.025" Properties=species:S:1:pos:R:3 pbc="T T T"
Li 0.000 0.000 0.000
Mn 0.000 0.000 3.052
P -4.492 -0.108 2.849
P 2.340 -3.836 2.849
P 2.152 3.945 2.849
O -0.036 -1.685 1.519
O -1.441 0.874 1.519
O -3.118 -0.663 3.439
O 1.477 0.811 1.519
O -1.087 -1.187 4.671
O 2.133 -2.369 3.439
O -0.485 1.535 4.671
O 0.985 3.032 3.439
O 1.572 -0.348 4.671
```

- total moment (μB per formula unit) = 5.00
- E (eV per atom) = -7.47
- formation energy (no corrections) (eV/f.u.) = -28.3
- Fermi-level density of states (states/eV per cell) = 0.00
- crystal system = trigonal

***

Record 12
## CsTb2Cu3Se5 (PBEsol)

Data for an optimized crystal structure of CsTb2Cu3Se5.

Geometry as extended XYZ:
```
22
Lattice="2.035 -7.196 0.000 2.035 7.196 0.000 0.000 0.000 17.135" Properties=species:S:1:pos:R:3 pbc="T T T"
Cs 2.035 6.325 12.851
Cs 2.035 -6.325 4.284
Tb 2.035 4.421 1.564
Tb 2.035 4.421 7.004
Tb 2.035 -4.421 10.131
Tb 2.035 -4.421 15.571
Cu 2.035 2.256 12.851
Cu 2.035 1.223 0.497
Cu 2.035 1.223 8.070
Cu 2.035 -1.223 9.064
Cu 2.035 -1.223 16.638
Cu 2.035 -2.256 4.284
Se 2.035 4.815 9.785
Se 2.035 4.815 15.917
Se 2.035 3.747 4.284
Se 2.035 0.846 10.510
Se 2.035 0.846 15.192
Se 2.035 -0.846 1.942
Se 2.035 -0.846 6.625
Se 2.035 -3.747 12.851
Se 2.035 -4.815 1.217
Se 2.035 -4.815 7.350
```

- total moment (μB per formula unit) = 0.00
- E (eV per atom) = -5.06
- formation energy (no corrections) (eV/f.u.) = -12.4
- crystal system = orthorhombic

***

Question: What is the total moment in the fourth record?
Answer: 0.00 μB per formula unit

***

Question: Number 7 is which compound?
Answer: YGeRh2